# 1
{"formula": "CsGaGe2O6", "functional": "GGA-PBE", "state": "optimized geometry", "cell": [[5.112, -5.863, 0.000], [5.112, 5.863, 0.000], [-1.982, 0.000, 5.551]], "species": ["Cs", "Cs", "Ga", "Ga", "Ge", "Ge", "Ge", "Ge", "O", "O", "O", "O", "O", "O", "O", "O", "O", "O", "O", "O"], "frac_coords": [[0.131, 0.869, 0.750], [0.869, 0.131, 0.250], [0.273, 0.727, 0.250], [0.727, 0.273, 0.750], [0.200, 0.363, 0.877], [0.363, 0.200, 0.377], [0.637, 0.800, 0.623], [0.800, 0.637, 0.123], [0.033, 0.669, 0.244], [0.228, 0.263, 0.130], [0.263, 0.228, 0.630], [0.308, 0.588, 0.971], [0.331, 0.967, 0.256], [0.412, 0.692, 0.529], [0.588, 0.308, 0.471], [0.669, 0.033, 0.744], [0.692, 0.412, 0.029], [0.737, 0.772, 0.370], [0.772, 0.737, 0.870], [0.967, 0.331, 0.756]], "formation_energy_uncorrected_ev_per_atom": -1.6916, "m_tot_mub_per_fu": 0.000}



# 2
{"formula": "CsGa2ReGe", "functional": "GGA-PBE", "state": "optimized geometry", "cell": [[5.052, 0.000, 0.000], [0.000, 5.052, 0.000], [0.000, 0.000, 4.896]], "species": ["Cs", "Ga", "Ga", "Re", "Ge"], "frac_coords": [[0.000, 0.000, 0.000], [0.000, 0.500, 0.500], [0.500, 0.000, 0.500], [0.500, 0.500, 0.500], [0.500, 0.500, 0.000]], "final_energy_ev_per_atom": -4.85, "m_tot_mub_per_fu": 0.000}



# 3
{"formula": "CsGa2GeS6", "functional": "GGA-PBE", "state": "optimized geometry", "cell": [[6.192, -7.299, 0.000], [6.192, 7.299, 0.000], [-3.377, 0.000, 6.753]], "species": ["Cs", "Cs", "Ga", "Ga", "Ga", "Ga", "Ge", "Ge", "S", "S", "S", "S", "S", "S", "S", "S", "S", "S", "S", "S"], "frac_coords": [[0.108, 0.892, 0.750], [0.892, 0.108, 0.250], [0.254, 0.419, 0.942], [0.419, 0.254, 0.442], [0.581, 0.746, 0.558], [0.746, 0.581, 0.058], [0.215, 0.785, 0.250], [0.785, 0.215, 0.750], [0.030, 0.235, 0.765], [0.235, 0.030, 0.265], [0.264, 0.668, 0.986], [0.332, 0.736, 0.514], [0.340, 0.411, 0.664], [0.411, 0.340, 0.164], [0.589, 0.660, 0.836], [0.660, 0.589, 0.336], [0.668, 0.264, 0.486], [0.736, 0.332, 0.014], [0.765, 0.970, 0.735], [0.970, 0.765, 0.235]], "formation_energy_uncorrected_ev_per_atom": -0.4890, "m_tot_mub_per_fu": 0.981}



# 4
{"formula": "Cs2GaGeSb", "functional": "GGA-PBE", "state": "optimized geometry", "cell": [[7.350, 0.000, 0.000], [0.000, 7.350, 0.000], [0.000, 0.000, 4.500]], "species": ["Cs", "Cs", "Ga", "Ge", "Sb"], "frac_coords": [[0.000, 0.500, 0.000], [0.500, 0.000, 0.000], [0.000, 0.000, 0.000], [0.000, 0.000, 0.500], [0.500, 0.500, 0.500]], "formation_energy_uncorrected_ev_per_atom": 0.2766, "m_tot_mub_per_fu": 1.414}



# 5
{"formula": "Cs2GaGeSe4", "functional": "GGA-PBE", "state": "optimized geometry", "cell": [[0.000, 7.394, 12.736], [3.183, 0.000, 12.736], [3.183, 7.394, 0.000]], "species": ["Cs", "Cs", "Cs", "Cs", "Ga", "Ga", "Ge", "Ge", "Se", "Se", "Se", "Se", "Se", "Se", "Se", "Se"], "frac_coords": [[0.055, 0.055, 0.695], [0.305, 0.305, 0.945], [0.695, 0.695, 0.055], [0.945, 0.945, 0.305], [0.125, 0.125, 0.125], [0.875, 0.875, 0.875], [0.375, 0.375, 0.375], [0.625, 0.625, 0.625], [0.034, 0.322, 0.402], [0.258, 0.598, 0.678], [0.322, 0.034, 0.742], [0.402, 0.742, 0.034], [0.598, 0.258, 0.966], [0.678, 0.966, 0.258], [0.742, 0.402, 0.322], [0.966, 0.678, 0.598]], "formation_energy_uncorrected_ev_per_atom": -0.8081, "m_tot_mub_per_fu": 0.001}



# 6
{"formula": "Cs2GaGeSe", "functional": "GGA-PBE", "state": "optimized geometry", "cell": [[7.120, 0.000, 0.000], [0.000, 7.120, 0.000], [0.000, 0.000, 4.809]], "species": ["Cs", "Cs", "Ga", "Ge", "Se"], "frac_coords": [[0.000, 0.500, 0.000], [0.500, 0.000, 0.000], [0.000, 0.000, 0.000], [0.500, 0.500, 0.500], [0.000, 0.000, 0.500]], "formation_energy_uncorrected_ev_per_atom": 0.1404, "m_tot_mub_per_fu": 2.821}



# 7
{"formula": "CsGaSnGe2", "functional": "GGA-PBE", "state": "optimized geometry", "cell": [[5.137, 0.000, 0.000], [0.000, 5.137, 0.000], [0.000, 0.000, 6.072]], "species": ["Cs", "Ga", "Sn", "Ge", "Ge"], "frac_coords": [[0.000, 0.000, 0.000], [0.000, 0.000, 0.500], [0.500, 0.500, 0.000], [0.000, 0.500, 0.500], [0.500, 0.000, 0.500]], "final_energy_ev_per_atom": -2.81, "m_tot_mub_per_fu": 0.001}



# 8
{"formula": "CsGaTcGe2", "functional": "GGA-PBE", "state": "optimized geometry", "cell": [[4.921, 0.000, 0.000], [0.000, 4.921, 0.000], [0.000, 0.000, 5.023]], "species": ["Cs", "Ga", "Tc", "Ge", "Ge"], "frac_coords": [[0.000, 0.000, 0.000], [0.500, 0.500, 0.000], [0.500, 0.500, 0.500], [0.000, 0.500, 0.500], [0.500, 0.000, 0.500]], "final_energy_ev_per_atom": -4.72, "m_tot_mub_per_fu": 0.000}



# 9
{"formula": "CsGaGe2W", "functional": "GGA-PBE", "state": "optimized geometry", "cell": [[5.738, 0.000, 0.000], [0.000, 5.738, 0.000], [0.000, 0.000, 5.447]], "species": ["Cs", "Ga", "Ge", "Ge", "W"], "frac_coords": [[0.000, 0.000, 0.000], [0.500, 0.500, 0.500], [0.000, 0.500, 0.000], [0.500, 0.000, 0.000], [0.000, 0.000, 0.500]], "final_energy_ev_per_atom": -2.54, "m_tot_mub_per_fu": 2.614}



# 10
{"formula": "CsYGa2Ge", "functional": "GGA-PBE", "state": "optimized geometry", "cell": [[5.121, 0.000, 0.000], [0.000, 5.121, 0.000], [0.000, 0.000, 6.024]], "species": ["Cs", "Y", "Ga", "Ga", "Ge"], "frac_coords": [[0.000, 0.000, 0.000], [0.500, 0.500, 0.000], [0.000, 0.500, 0.500], [0.500, 0.000, 0.500], [0.000, 0.000, 0.500]], "final_energy_ev_per_atom": -2.97, "m_tot_mub_per_fu": 0.000}



# 11
{"formula": "Cs2GaH", "functional": "GGA-PBE", "state": "optimized geometry", "cell": [[4.187, 0.000, 0.000], [-2.093, 3.626, 0.000], [0.000, 0.000, 33.013]], "species": ["Cs", "Cs", "Cs", "Cs", "Cs", "Cs", "Ga", "Ga", "Ga", "H", "H", "H"], "frac_coords": [[0.000, 0.000, 0.110], [0.000, 0.000, 0.890], [0.333, 0.667, 0.557], [0.333, 0.667, 0.776], [0.667, 0.333, 0.224], [0.667, 0.333, 0.443], [0.000, 0.000, 0.000], [0.333, 0.667, 0.667], [0.667, 0.333, 0.333], [0.000, 0.000, 0.500], [0.333, 0.667, 0.167], [0.667, 0.333, 0.833]], "m_tot_mub_per_fu": 0.000, "relative_energy_ev_per_atom": 0.000}



# 12
{"formula": "Cs3GaH", "functional": "GGA-PBE", "state": "optimized geometry", "cell": [[7.014, 0.000, 0.000], [0.000, 7.014, 0.000], [0.000, 0.000, 7.014]], "species": ["Cs", "Cs", "Cs", "Ga", "H"], "frac_coords": [[0.000, 0.000, 0.500], [0.000, 0.500, 0.000], [0.500, 0.000, 0.000], [0.000, 0.000, 0.000], [0.500, 0.500, 0.500]], "final_energy_ev_per_atom": -1.42, "m_tot_mub_per_fu": 0.000}



# 13
{"formula": "Cs2GaH4", "functional": "GGA-PBE", "state": "optimized geometry", "cell": [[4.194, 0.000, 0.000], [0.000, 4.194, 0.000], [0.000, 0.000, 15.521]], "species": ["Cs", "Cs", "Cs", "Cs", "Ga", "Ga", "H", "H", "H", "H", "H", "H", "H", "H"], "frac_coords": [[0.000, 0.000, 0.139], [0.000, 0.000, 0.861], [0.500, 0.500, 0.361], [0.500, 0.500, 0.639], [0.000, 0.000, 0.500], [0.500, 0.500, 0.000], [0.000, 0.000, 0.376], [0.000, 0.000, 0.624], [0.000, 0.500, 0.000], [0.000, 0.500, 0.500], [0.500, 0.000, 0.000], [0.500, 0.000, 0.500], [0.500, 0.500, 0.124], [0.500, 0.500, 0.876]], "final_energy_ev_per_atom": -2.61, "m_tot_mub_per_fu": 0.000}



# 14
{"formula": "Cs2GaH5", "functional": "GGA-PBE", "state": "optimized geometry", "cell": [[6.421, 0.000, 0.000], [0.000, 6.421, 0.000], [0.000, 0.000, 8.187]], "species": ["Cs", "Cs", "Cs", "Cs", "Ga", "Ga", "H", "H", "H", "H", "H", "H", "H", "H", "H", "H"], "frac_coords": [[0.000, 0.500, 0.000], [0.000, 0.500, 0.500], [0.500, 0.000, 0.000], [0.500, 0.000, 0.500], [0.000, 0.000, 0.281], [0.500, 0.500, 0.781], [0.000, 0.000, 0.479], [0.187, 0.187, 0.235], [0.187, 0.813, 0.235], [0.313, 0.313, 0.735], [0.313, 0.687, 0.735], [0.500, 0.500, 0.979], [0.687, 0.313, 0.735], [0.687, 0.687, 0.735], [0.813, 0.187, 0.235], [0.813, 0.813, 0.235]], "final_energy_ev_per_atom": -2.84, "m_tot_mub_per_fu": 0.000}



# 15
{"formula": "Cs2GaH3", "functional": "GGA-PBE", "state": "optimized geometry", "cell": [[5.851, -3.263, 0.000], [5.851, 3.263, 0.000], [-5.063, 0.000, 10.649]], "species": ["Cs", "Cs", "Cs", "Cs", "Ga", "Ga", "H", "H", "H", "H", "H", "H"], "frac_coords": [[0.119, 0.635, 0.873], [0.365, 0.881, 0.627], [0.635, 0.119, 0.373], [0.881, 0.365, 0.127], [0.225, 0.775, 0.250], [0.775, 0.225, 0.750], [0.011, 0.207, 0.856], [0.207, 0.011, 0.356], [0.465, 0.535, 0.250], [0.535, 0.465, 0.750], [0.793, 0.989, 0.644], [0.989, 0.793, 0.144]], "final_energy_ev_per_atom": -2.50, "m_tot_mub_per_fu": 0.000}



# 16
{"formula": "CsGa6H2", "functional": "GGA-PBE", "state": "optimized geometry", "cell": [[5.888, 0.000, 0.000], [2.137, 5.517, 0.000], [2.267, 1.572, 5.680]], "species": ["Cs", "Ga", "Ga", "Ga", "Ga", "Ga", "Ga", "H", "H"], "frac_coords": [[0.000, 0.000, 0.000], [0.129, 0.581, 0.595], [0.361, 0.363, 0.205], [0.418, 0.871, 0.408], [0.582, 0.129, 0.592], [0.639, 0.637, 0.795], [0.871, 0.419, 0.405], [0.315, 0.311, 0.758], [0.685, 0.689, 0.242]], "final_energy_ev_per_atom": -2.83, "m_tot_mub_per_fu": 0.000}



# 17
{"formula": "Cs3Ga5H12", "functional": "GGA-PBE", "state": "optimized geometry", "cell": [[-7.245, 7.245, 7.245], [7.245, -7.245, 7.245], [7.245, 7.245, -7.245]], "species": ["Cs", "Cs", "Cs", "Cs", "Cs", "Cs", "Cs", "Cs", "Cs", "Cs", "Cs", "Cs", "Ga", "Ga", "Ga", "Ga", "Ga", "Ga", "Ga", "Ga", "Ga", "Ga", "Ga", "Ga", "Ga", "Ga", "Ga", "Ga", "Ga", "Ga", "Ga", "Ga", "H", "H", "H", "H", "H", "H", "H", "H", "H", "H", "H", "H", "H", "H", "H", "H", "H", "H", "H", "H", "H", "H", "H", "H", "H", "H", "H", "H", "H", "H", "H", "H", "H", "H", "H", "H", "H", "H", "H", "H", "H", "H", "H", "H", "H", "H", "H", "H"], "frac_coords": [[0.125, 0.250, 0.375], [0.125, 0.375, 0.750], [0.250, 0.375, 0.125], [0.250, 0.875, 0.625], [0.375, 0.125, 0.250], [0.375, 0.750, 0.125], [0.625, 0.250, 0.875], [0.625, 0.875, 0.750], [0.750, 0.125, 0.375], [0.750, 0.625, 0.875], [0.875, 0.625, 0.250], [0.875, 0.750, 0.625], [0.000, 0.000, 0.000], [0.000, 0.000, 0.500], [0.000, 0.500, 0.000], [0.000, 0.500, 0.500], [0.125, 0.750, 0.875], [0.125, 0.875, 0.250], [0.250, 0.125, 0.875], [0.250, 0.625, 0.375], [0.375, 0.250, 0.625], [0.375, 0.625, 0.750], [0.500, 0.000, 0.000], [0.500, 0.000, 0.500], [0.500, 0.500, 0.000], [0.500, 0.500, 0.500], [0.625, 0.375, 0.250], [0.625, 0.750, 0.375], [0.750, 0.375, 0.625], [0.750, 0.875, 0.125], [0.875, 0.125, 0.750], [0.875, 0.250, 0.125], [0.033, 0.722, 0.136], [0.033, 0.811, 0.898], [0.087, 0.689, 0.722], [0.087, 0.898, 0.364], [0.102, 0.636, 0.913], [0.102, 0.967, 0.189], [0.136, 0.033, 0.722], [0.136, 0.602, 0.413], [0.189, 0.102, 0.967], [0.189, 0.587, 0.222], [0.222, 0.189, 0.587], [0.222, 0.533, 0.636], [0.278, 0.864, 0.967], [0.278, 0.913, 0.311], [0.311, 0.278, 0.913], [0.311, 0.533, 0.398], [0.364, 0.087, 0.898], [0.364, 0.778, 0.467], [0.398, 0.311, 0.533], [0.398, 0.587, 0.864], [0.413, 0.136, 0.602], [0.413, 0.778, 0.811], [0.467, 0.364, 0.778], [0.467, 0.602, 0.689], [0.533, 0.398, 0.311], [0.533, 0.636, 0.222], [0.587, 0.222, 0.189], [0.587, 0.864, 0.398], [0.602, 0.413, 0.136], [0.602, 0.689, 0.467], [0.636, 0.222, 0.533], [0.636, 0.913, 0.102], [0.689, 0.467, 0.602], [0.689, 0.722, 0.087], [0.722, 0.087, 0.689], [0.722, 0.136, 0.033], [0.778, 0.467, 0.364], [0.778, 0.811, 0.413], [0.811, 0.413, 0.778], [0.811, 0.898, 0.033], [0.864, 0.398, 0.587], [0.864, 0.967, 0.278], [0.898, 0.033, 0.811], [0.898, 0.364, 0.087], [0.913, 0.102, 0.636], [0.913, 0.311, 0.278], [0.967, 0.189, 0.102], [0.967, 0.278, 0.864]], "final_energy_ev_per_atom": -2.89, "m_tot_mub_per_fu": 0.982}



# 18
{"formula": "Cs3GaH6", "functional": "GGA-PBE", "state": "optimized geometry", "cell": [[5.819, -6.726, 0.000], [5.819, 6.726, 0.000], [0.000, 0.000, 7.137]], "species": ["Cs", "Cs", "Cs", "Cs", "Cs", "Cs", "Ga", "Ga", "H", "H", "H", "H", "H", "H", "H", "H", "H", "H", "H", "H"], "frac_coords": [[0.098, 0.902, 0.500], [0.186, 0.412, 0.515], [0.412, 0.186, 0.015], [0.588, 0.814, 0.515], [0.814, 0.588, 0.015], [0.902, 0.098, 0.000], [0.323, 0.677, 0.038], [0.677, 0.323, 0.538], [0.162, 0.172, 0.258], [0.162, 0.614, 0.131], [0.172, 0.162, 0.758], [0.304, 0.696, 0.816], [0.386, 0.838, 0.131], [0.440, 0.560, 0.081], [0.560, 0.440, 0.581], [0.614, 0.162, 0.631], [0.696, 0.304, 0.316], [0.828, 0.838, 0.258], [0.838, 0.386, 0.631], [0.838, 0.828, 0.758]], "final_energy_ev_per_atom": -2.73, "m_tot_mub_per_fu": 0.000}



# 19
{"formula": "CsGa2H", "functional": "GGA-PBE", "state": "optimized geometry", "cell": [[6.571, 0.000, 0.000], [0.000, 6.571, 0.000], [0.000, 0.000, 9.273]], "species": ["Cs", "Cs", "Cs", "Cs", "Ga", "Ga", "Ga", "Ga", "Ga", "Ga", "Ga", "Ga", "H", "H", "H", "H"], "frac_coords": [[0.000, 0.250, 0.375], [0.000, 0.750, 0.625], [0.500, 0.250, 0.125], [0.500, 0.750, 0.875], [0.000, 0.000, 0.000], [0.000, 0.500, 0.000], [0.250, 0.250, 0.750], [0.250, 0.750, 0.250], [0.500, 0.000, 0.500], [0.500, 0.500, 0.500], [0.750, 0.250, 0.750], [0.750, 0.750, 0.250], [0.000, 0.250, 0.875], [0.000, 0.750, 0.125], [0.500, 0.250, 0.625], [0.500, 0.750, 0.375]], "m_tot_mub_per_fu": 0.000, "relative_energy_ev_per_atom": 0.309}



# 20
{"formula": "CsGaH4", "functional": "GGA-PBE", "state": "optimized geometry", "cell": [[5.390, 0.000, 0.000], [0.000, 5.727, 0.000], [-2.555, 0.000, 7.497]], "species": ["Cs", "Cs", "Ga", "Ga", "H", "H", "H", "H", "H", "H", "H", "H"], "frac_coords": [[0.143, 0.250, 0.251], [0.857, 0.750, 0.749], [0.360, 0.250, 0.770], [0.640, 0.750, 0.230], [0.141, 0.250, 0.866], [0.319, 0.023, 0.645], [0.319, 0.477, 0.645], [0.351, 0.750, 0.090], [0.649, 0.250, 0.910], [0.681, 0.523, 0.355], [0.681, 0.977, 0.355], [0.859, 0.750, 0.134]], "final_energy_ev_per_atom": -3.11, "m_tot_mub_per_fu": 0.000}